[1]
The following is a DFT calculation (PBE) of a relaxed Cs2Tc2Au crystal.

a b c (Å): 7.112 7.112 7.600
angles (deg): 90.00 90.00 90.00
Space group I4/mmm (No. 139)
Unique sites:
Cs (0.000, 0.500, 0.250) [4 per cell]
Tc (0.000, 0.000, 0.136) [4 per cell]
Au (0.000, 0.000, 0.500) [2 per cell]

## Properties
formation energy	1.181	eV/atom
raw total energy	-39.621	eV per cell


[2]
The following is a DFT calculation (PBE) of a relaxed CsTc2Au crystal.

a b c (Å): 6.715 6.715 6.715
angles (deg): 90.00 90.00 90.00
Space group Fm-3m (No. 225)
Unique sites:
Cs (0.000, 0.000, 0.000) [4 per cell]
Tc (0.250, 0.250, 0.250) [8 per cell]
Au (0.000, 0.000, 0.500) [4 per cell]

## Properties
formation energy	1.779	eV/atom
raw total energy	-70.982	eV per cell


[3]
The following is a DFT calculation (PBE) of a relaxed Cs3TcAu crystal.

a b c (Å): 5.885 5.885 5.885
angles (deg): 90.00 90.00 90.00
Space group Pm-3m (No. 221)
Unique sites:
Cs (0.000, 0.000, 0.500) [3 per cell]
Tc (0.000, 0.000, 0.000) [1 per cell]
Au (0.500, 0.500, 0.500) [1 per cell]

## Properties
formation energy	0.950	eV/atom
raw total energy	-11.455	eV per cell